1.
Compound: Tm4ZnC2
Source: Alexandria
Functional: PBE
Structure: optimized geometry

Output
**Energy relative to the elements**: -0.276 eV/atom
**Density**: 9.207 Mg/m³
**E_tot**: -5.648 eV/atom
**D(E_F)**: 22.48 states/eV per cell
**Spin magnetization**: 0.099 μB/atom

abc: 3.6056 12.0129 12.7440
angles: 90.00 90.00 90.00
Space group Cmcm (No. 63)
Symmetry-distinct sites (fractional):
Tm 0.0000 0.0000 0.0000 x4
Tm 0.0000 0.2637 0.1031 x8
Tm 0.0000 0.4280 0.7500 x4
Zn 0.0000 0.1159 0.7500 x4
C 0.0000 0.3643 0.5628 x8

2.
Compound: Tm3ZnC
Source: Alexandria
Functional: PBE
Structure: optimized geometry

Output
**Energy relative to the elements**: -0.284 eV/atom
**Relative energy among the computed polymorphs**: 0.04 eV per formula unit
**Density**: 8.787 Mg/m³
**E_tot**: -5.067 eV/atom
**D(E_F)**: 5.43 states/eV per cell
**Spin magnetization**: 0.158 μB/atom

abc: 4.7973 4.7973 4.7973
angles: 90.00 90.00 90.00
Space group Pm-3m (No. 221)
Symmetry-distinct sites (fractional):
Tm 0.0000 0.0000 0.5000 x3
Zn 0.5000 0.5000 0.5000 x1
C 0.0000 0.0000 0.0000 x1

3.
Compound: Tm4Zn2C
Source: Alexandria
Functional: PBE
Structure: optimized geometry

Output
**Energy relative to the elements**: -0.219 eV/atom
**Density**: 8.467 Mg/m³
**E_tot**: -4.456 eV/atom
**D(E_F)**: 16.58 states/eV per cell
**Spin magnetization**: 0.000 μB/atom

abc: 4.7821 4.7821 14.0399
angles: 90.00 90.00 90.00
Space group I4/mmm (No. 139)
Symmetry-distinct sites (fractional):
Tm 0.0000 0.0000 0.1723 x4
Tm 0.0000 0.5000 0.0000 x4
Zn 0.0000 0.0000 0.3750 x4
C 0.0000 0.0000 0.0000 x2